VASP calculation (PBE) on Pm3B2Pt9Au after structural relaxation. Values from VASP.

Properties
Symmetry: P-3m1, No. 164
Density: 14.44 g/cm³
Calculated total energy: -0.47332 Ry per atom
DOS at the Fermi energy: 0.28 states/eV per atom
Formation energy: -756 meV/atom

Cell and atoms, written as Quantum ESPRESSO input:
```
&SYSTEM
  ibrav = 0, nat = 15, ntyp = 4
/
ATOMIC_SPECIES
Pm 145.00 Pm.upf
B 10.81 B.upf
Pt 195.08 Pt.upf
Au 196.97 Au.upf
CELL_PARAMETERS angstrom
5.774 0.000 0.000
-2.887 5.001 0.000
0.000 0.000 9.597
ATOMIC_POSITIONS crystal
Pm 0.000 0.000 0.000
Pm 0.333 0.667 0.610
Pm 0.667 0.333 0.390
B 0.333 0.667 0.145
B 0.667 0.333 0.855
Pt 0.000 0.500 0.000
Pt 0.165 0.331 0.276
Pt 0.165 0.835 0.276
Pt 0.331 0.165 0.724
Pt 0.500 0.000 0.000
Pt 0.500 0.500 0.000
Pt 0.669 0.835 0.276
Pt 0.835 0.165 0.724
Pt 0.835 0.669 0.724
Au 0.000 0.000 0.500
```